## AgRhAu2 (GGA-PBE)

Data for crystalline AgRhAu2 at its relaxed geometry.

* E: -4.08 eV/atom
* DOS at the Fermi energy: 3.21 states/eV/cell
* energy relative to the elements: 11 kJ per mole of atoms

Cell and atoms, written as CIF:
```
data_AgRhAu2
_space_group_name_H-M_alt 'P m m m'
_space_group_IT_number 47
_space_group_name_Hall '-P 2 2'
_cell_length_a 2.8227
_cell_length_b 4.0314
_cell_length_c 5.9723
_cell_angle_alpha 90.00
_cell_angle_beta 90.00
_cell_angle_gamma 90.00
loop_
_atom_site_label
_atom_site_fract_x
_atom_site_fract_y
_atom_site_fract_z
Ag1 0.0000 0.0000 0.0000
Rh1 0.0000 0.0000 0.5000
Au1 0.5000 0.5000 0.2585
```

=====

## ZnSnAs2 (GGA-PBE)

Data for crystalline ZnSnAs2 at its relaxed geometry.

* E: -3.84 eV/atom
* DOS at the Fermi energy: 0.06 states/eV/cell
* energy relative to the elements: -19 kJ per mole of atoms

Cell and atoms, written as CIF:
```
data_ZnSnAs2
_space_group_name_H-M_alt 'I -4 2 d'
_space_group_IT_number 122
_space_group_name_Hall 'I -4 2bw'
_cell_length_a 5.9392
_cell_length_b 5.9392
_cell_length_c 11.9236
_cell_angle_alpha 90.00
_cell_angle_beta 90.00
_cell_angle_gamma 90.00
loop_
_atom_site_label
_atom_site_fract_x
_atom_site_fract_y
_atom_site_fract_z
Zn1 0.0000 0.0000 0.0000
Sn1 0.0000 0.0000 0.5000
As1 0.2264 0.2500 0.1250
```

=====

## Na3AgPt (GGA-PBE)

Data for crystalline Na3AgPt at its relaxed geometry.

* E: -2.37 eV/atom
* DOS at the Fermi energy: 0.00 states/eV/cell
* energy relative to the elements: 19 kJ per mole of atoms

Cell and atoms, written as CIF:
```
data_Na3AgPt
_space_group_name_H-M_alt 'P m -3 m'
_space_group_IT_number 221
_space_group_name_Hall '-P 4 2 3'
_cell_length_a 5.4459
_cell_length_b 5.4459
_cell_length_c 5.4459
_cell_angle_alpha 90.00
_cell_angle_beta 90.00
_cell_angle_gamma 90.00
loop_
_atom_site_label
_atom_site_fract_x
_atom_site_fract_y
_atom_site_fract_z
Na1 0.0000 0.0000 0.5000
Ag1 0.5000 0.5000 0.5000
Pt1 0.0000 0.0000 0.0000
```

=====

## KRb2InI6 (GGA-PBE)

Data for crystalline KRb2InI6 at its relaxed geometry.

* E: -2.57 eV/atom
* DOS at the Fermi energy: 0.00 states/eV/cell

Cell and atoms, written as CIF:
```
data_KRb2InI6
_space_group_name_H-M_alt 'R 3'
_space_group_IT_number 146
_space_group_name_Hall 'R 3'
_cell_length_a 8.8643
_cell_length_b 8.8643
_cell_length_c 21.7268
_cell_angle_alpha 90.00
_cell_angle_beta 90.00
_cell_angle_gamma 120.00
loop_
_atom_site_label
_atom_site_fract_x
_atom_site_fract_y
_atom_site_fract_z
K1 0.0000 0.0000 0.0000
Rb1 0.0000 0.0000 0.2757
Rb2 0.0000 0.0000 0.7833
In1 0.0000 0.0000 0.4944
I1 0.0304 0.4259 0.2376
I2 0.0917 0.7176 0.0803
```

=====

## Nb3PdPt (GGA-PBE)

Data for crystalline Nb3PdPt at its relaxed geometry.

* E: -8.24 eV/atom
* DOS at the Fermi energy: 27.41 states/eV/cell
* energy relative to the elements: 5 kJ per mole of atoms

Cell and atoms, written as CIF:
```
data_Nb3PdPt
_space_group_name_H-M_alt 'R -3 m'
_space_group_IT_number 166
_space_group_name_Hall '-R 3 2"'
_cell_length_a 5.6005
_cell_length_b 5.6005
_cell_length_c 21.8365
_cell_angle_alpha 90.00
_cell_angle_beta 90.00
_cell_angle_gamma 120.00
loop_
_atom_site_label
_atom_site_fract_x
_atom_site_fract_y
_atom_site_fract_z
Nb1 0.0027 0.5014 0.1035
Pd1 0.0000 0.0000 0.3329
Pt1 0.0000 0.0000 0.1248
```

=====

## MnHg2Cl6 (GGA-PBE)

Data for crystalline MnHg2Cl6 at its relaxed geometry.

* E: -3.04 eV/atom

Cell and atoms, written as CIF:
```
data_MnHg2Cl6
_space_group_name_H-M_alt 'C 1 2/m 1'
_space_group_IT_number 12
_space_group_name_Hall '-C 2y'
_cell_length_a 14.1146
_cell_length_b 3.8433
_cell_length_c 9.6717
_cell_angle_alpha 90.00
_cell_angle_beta 105.71
_cell_angle_gamma 90.00
loop_
_atom_site_label
_atom_site_fract_x
_atom_site_fract_y
_atom_site_fract_z
Mn1 0.0000 0.0000 0.0000
Hg1 0.1728 0.5000 0.3202
Cl1 0.0335 0.0000 0.2758
Cl2 0.1238 0.5000 0.0222
Cl3 0.1928 0.5000 0.6252
```